[1]
Density functional theory data (PBE) for a relaxed structure of LiCuMoPt.

```
LiCuMoPt
1.0
0.0000 3.0137 3.0137
3.0137 0.0000 3.0137
3.0137 3.0137 0.0000
Cu Li Pt Mo
1 1 1 1
Cartesian
3.0137 3.0137 3.0137 Cu
4.5206 4.5206 4.5206 Li
1.5069 1.5069 1.5069 Pt
0.0000 0.0000 0.0000 Mo
```

Computed properties:
DFT total energy: -22.75 eV for the cell shown
relative energy among the computed polymorphs: 0.000 eV per atom

***

[2]
Density functional theory data (PBE) for a relaxed structure of Li2Cu2MoS4.

```
Li2Cu2MoS4
1.0
6.7462 -1.8047 0.0000
6.7462 1.8047 0.0000
-3.3950 0.0000 5.9692
Cu S Li Mo
2 4 2 1
Cartesian
4.2999 0.0000 0.1553 Cu
5.7975 0.0000 5.8139 Cu
7.9138 0.0000 4.6530 S
2.1835 0.0000 1.3162 S
4.0754 0.0000 4.4031 S
6.0219 0.0000 1.5661 S
0.2694 0.0000 3.1106 Li
9.8279 0.0000 2.8586 Li
0.0000 0.0000 0.0000 Mo
```

Computed properties:
DFT total energy: -44.13 eV for the cell shown

***

[3]
Density functional theory data (PBE) for a relaxed structure of LiCuMoSe2S.

```
LiCuMoSe2S
1.0
1.7359 -6.4023 0.0000
1.7359 6.4023 0.0000
0.0000 0.0000 9.4643
Mo Se S Li Cu
2 4 2 2 2
Cartesian
0.0000 0.0000 0.0000 Mo
0.0000 0.0000 4.7322 Mo
1.7359 -1.8719 0.4931 Se
1.7359 -1.8719 4.2391 Se
1.7359 1.8719 5.2252 Se
1.7359 1.8719 8.9712 Se
1.7359 -5.3355 2.3661 S
1.7359 5.3355 7.0982 S
1.7359 3.1632 2.3661 Li
1.7359 -3.1632 7.0982 Li
1.7359 0.4110 7.0982 Cu
1.7359 -0.4110 2.3661 Cu
```

Computed properties:
DFT total energy: -60.58 eV for the cell shown

***

[4]
Density functional theory data (PBE) for a relaxed structure of LiCu3MoSe4.

```
LiCu3MoSe4
1.0
-3.2525 0.3322 4.6965
4.6111 -0.9289 3.2590
0.9515 5.6368 0.2603
Mo Li Cu Se
1 1 3 4
Cartesian
1.1551 2.5201 4.1079 Mo
0.0000 0.0000 0.0000 Li
2.7813 2.3540 1.7596 Cu
0.6793 -0.2983 3.9778 Cu
-1.1505 2.9845 2.4784 Cu
3.3364 3.6029 3.8166 Se
0.5834 1.2729 2.0749 Se
1.2558 0.9776 6.0122 Se
-0.5554 4.2270 4.5280 Se
```

Computed properties:
DFT total energy: -40.58 eV for the cell shown

***

What did the third record say?
Density functional theory data (PBE) for a relaxed structure of LiCuMoSe2S.

```
LiCuMoSe2S
1.0
1.7359 -6.4023 0.0000
1.7359 6.4023 0.0000
0.0000 0.0000 9.4643
Mo Se S Li Cu
2 4 2 2 2
Cartesian
0.0000 0.0000 0.0000 Mo
0.0000 0.0000 4.7322 Mo
1.7359 -1.8719 0.4931 Se
1.7359 -1.8719 4.2391 Se
1.7359 1.8719 5.2252 Se
1.7359 1.8719 8.9712 Se
1.7359 -5.3355 2.3661 S
1.7359 5.3355 7.0982 S
1.7359 3.1632 2.3661 Li
1.7359 -3.1632 7.0982 Li
1.7359 0.4110 7.0982 Cu
1.7359 -0.4110 2.3661 Cu
```

Computed properties:
DFT total energy: -60.58 eV for the cell shown

***

Question: Look up the DFT total energy of the first one.
Answer: -22.75 eV for the cell shown

***

Question: What is the formula in the fourth record?
Answer: LiCu3MoSe4